1:
Here is an optimized crystal structure of LiCd2Ag6 from Alexandria. Energies are from GGA-PBE.

abc: 5.057 9.175 7.701
angles: 73.16 89.33 74.17
Sites, in units of the cell vectors:
Cd1 0.935 0.783 0.522
Cd2 0.395 0.553 0.803
Cd3 0.605 0.447 0.197
Cd4 0.065 0.217 0.478
Ag1 0.725 0.214 0.974
Ag2 0.506 0.327 0.591
Ag3 0.828 0.999 0.758
Ag4 0.388 0.890 0.644
Ag5 0.165 0.331 0.079
Ag6 0.275 0.786 0.026
Ag7 0.494 0.673 0.409
Ag8 0.051 0.558 0.306
Ag9 0.835 0.669 0.921
Ag10 0.949 0.442 0.694
Ag11 0.612 0.110 0.356
Ag12 0.172 0.001 0.242
Li1 0.730 0.889 0.134
Li2 0.270 0.111 0.866

Summary:
- SG = P-1 (2)
- crystal system = triclinic

2:
Here is an optimized crystal structure of LiCd2Ag6 from Alexandria. Energies are from GGA-PBE.

abc: 2.890 8.121 8.226
angles: 119.58 90.59 90.00
Sites, in units of the cell vectors:
Ag1 0.500 0.316 0.000
Ag2 0.996 0.665 0.684
Ag3 0.004 0.982 0.316
Ag4 0.004 0.335 0.316
Ag5 0.996 0.018 0.684
Ag6 0.500 0.684 0.000
Cd1 0.495 0.684 0.367
Cd2 0.505 0.316 0.633
Li1 0.000 0.000 0.000

Summary:
- SG = C2/m (12)
- crystal system = monoclinic

2 is the least stable structure shown above.